A plane-wave DFT calculation with PBE was carried out for a geometry-optimized MnCr2Rh2 structure.

a = 7.145 Å, b = 7.145 Å, c = 2.788 Å
α = 90.00°, β = 90.00°, γ = 90.00°
Space group P4/mbm (No. 127)
Unique sites:
Mn 0.000 0.000 0.000
Cr 0.167 0.333 0.500
Rh 0.133 0.633 0.000

Properties
E above lowest polymorph: 0 meV/atom
Energy of formation from the pure elements: 0.712 eV/f.u.
Calculated volume: 14.233 Å³/atom